Record 1
# KSn2HgCl8 | the Alexandria database | GGA-PBE | relaxed
# DOS at the Fermi energy ... 6.17 states/eV/f.u.
# Electronic total energy ... -36.1 eV for the cell shown
data_KSn2HgCl8
_chemical_formula_sum 'K1 Sn2 Hg1 Cl8'
_cell_length_a 6.7329
_cell_length_b 6.8610
_cell_length_c 8.6437
_cell_angle_alpha 90.71
_cell_angle_beta 91.88
_cell_angle_gamma 92.02
_space_group_name_H-M_alt 'P -1'
_space_group_IT_number 2
loop_
_space_group_symop_operation_xyz
'x,y,z'
'-x,-y,-z'
loop_
_atom_site_label
_atom_site_type_symbol
_atom_site_fract_x
_atom_site_fract_y
_atom_site_fract_z
K1 K 0.0000 0.0000 0.0000
Sn1 Sn 0.4952 0.4866 0.2549
Hg1 Hg 0.0000 0.0000 0.5000
Cl1 Cl 0.2075 0.1387 0.7019
Cl2 Cl 0.2841 0.1776 0.2564
Cl3 Cl 0.2876 0.6412 0.4889
Cl4 Cl 0.2928 0.6361 0.0025

Record 2
# RbInN2 | the Alexandria database | GGA-PBE | relaxed
# DOS at the Fermi energy ... 0.08 states/eV/f.u.
# Electronic total energy ... -49.1 eV for the cell shown
data_RbInN2
_chemical_formula_sum 'Rb3 In3 N6'
_cell_length_a 3.5646
_cell_length_b 3.5646
_cell_length_c 22.0975
_cell_angle_alpha 90.00
_cell_angle_beta 90.00
_cell_angle_gamma 120.00
_space_group_name_H-M_alt 'R -3 m'
_space_group_IT_number 166
_space_group_name_Hall '-R 3 2"'
loop_
_atom_site_label
_atom_site_type_symbol
_atom_site_fract_x
_atom_site_fract_y
_atom_site_fract_z
Rb1 Rb 0.0000 0.0000 0.0000
In1 In 0.0000 0.0000 0.5000
N1 N 0.0000 0.0000 0.1196

Record 3
# CsTa2AsIr | the Alexandria database | GGA-PBE | relaxed
# Calculated formation energy ... 3.214 eV per atom
# DOS at the Fermi energy ... 6.44 states/eV/f.u.
data_CsTa2AsIr
_chemical_formula_sum 'Cs1 Ta2 As1 Ir1'
_cell_length_a 5.0981
_cell_length_b 5.0981
_cell_length_c 4.9002
_cell_angle_alpha 90.00
_cell_angle_beta 90.00
_cell_angle_gamma 90.00
_space_group_name_H-M_alt 'P 4/m m m'
_space_group_IT_number 123
_space_group_name_Hall '-P 4 2'
loop_
_atom_site_label
_atom_site_type_symbol
_atom_site_fract_x
_atom_site_fract_y
_atom_site_fract_z
Cs1 Cs 0.0000 0.0000 0.0000
Ta1 Ta 0.0000 0.5000 0.0000
As1 As 0.5000 0.5000 0.5000
Ir1 Ir 0.0000 0.0000 0.5000